{"formula": "TaIn2Pt", "functional": "PBE-GGA", "state": "optimized geometry", "magmom_total_mub_per_fu": 1.24, "formation_energy_mev_per_atom": 212, "sg": "Fm-3m, No. 225", "cell": [[0.000, 3.372, 3.372], [3.372, 0.000, 3.372], [3.372, 3.372, 0.000]], "species": ["In", "In", "Pt", "Ta"], "fractional_positions": [[0.250, 0.250, 0.250], [0.750, 0.750, 0.750], [0.500, 0.500, 0.500], [0.000, 0.000, 0.000]]}

{"formula": "KRb", "functional": "PBE-GGA", "state": "optimized geometry", "magmom_total_mub_per_fu": 0.00, "formation_energy_mev_per_atom": 309, "sg": "Pm-3n, No. 223", "cell": [[12.488, 0.000, 0.000], [0.000, 12.488, 0.000], [0.000, 0.000, 12.488]], "species": ["K", "K", "K", "K", "K", "K", "Rb", "Rb", "Rb", "Rb", "Rb", "Rb"], "fractional_positions": [[0.250, 0.500, 0.000], [0.750, 0.500, 0.000], [0.500, 0.000, 0.250], [0.500, 0.000, 0.750], [0.000, 0.250, 0.500], [0.000, 0.750, 0.500], [0.250, 0.000, 0.500], [0.750, 0.000, 0.500], [0.000, 0.500, 0.250], [0.000, 0.500, 0.750], [0.500, 0.250, 0.000], [0.500, 0.750, 0.000]]}

{"formula": "Ho4Co", "functional": "PBE-GGA", "state": "optimized geometry", "magmom_total_mub_per_fu": 0.00, "formation_energy_mev_per_atom": 296, "sg": "Fd-3m, No. 227", "cell": [[0.000, 5.246, 5.246], [5.246, 0.000, 5.246], [5.246, 5.246, 0.000]], "species": ["Ho", "Ho", "Ho", "Ho", "Ho", "Ho", "Ho", "Ho", "Co", "Co"], "fractional_positions": [[0.886, 0.886, 0.886], [0.342, 0.886, 0.886], [0.886, 0.886, 0.342], [0.908, 0.364, 0.364], [0.364, 0.364, 0.364], [0.886, 0.342, 0.886], [0.364, 0.364, 0.908], [0.364, 0.908, 0.364], [0.500, 0.500, 0.500], [0.750, 0.750, 0.750]]}

{"formula": "La2Pm5YHo", "functional": "PBE-GGA", "state": "optimized geometry", "magmom_total_mub_per_fu": 0.00, "formation_energy_mev_per_atom": 130, "sg": "Cmc2_1, No. 36", "cell": [[5.731, 0.000, 0.000], [-2.865, 10.183, 0.000], [0.000, 0.000, 10.807]], "species": ["La", "La", "La", "La", "Pm", "Pm", "Pm", "Pm", "Pm", "Pm", "Pm", "Pm", "Pm", "Pm", "Y", "Y", "Ho", "Ho"], "fractional_positions": [[0.883, 0.766, 0.816], [0.114, 0.228, 0.734], [0.117, 0.234, 0.316], [0.886, 0.772, 0.234], [0.385, 0.770, 0.022], [0.722, 0.444, 0.811], [0.482, 0.964, 0.743], [0.296, 0.592, 0.704], [0.985, 0.970, 0.520], [0.615, 0.230, 0.522], [0.278, 0.556, 0.311], [0.518, 0.036, 0.243], [0.704, 0.408, 0.204], [0.015, 0.030, 0.020], [0.592, 0.185, 0.963], [0.408, 0.815, 0.463], [0.799, 0.598, 0.510], [0.201, 0.402, 0.010]]}

{"formula": "YTlH2Pb", "functional": "PBE-GGA", "state": "optimized geometry", "magmom_total_mub_per_fu": 0.00, "e_tot_ev_per_atom": -3.90, "sg": "P4/mmm, No. 123", "cell": [[4.335, 0.000, 0.000], [0.000, 6.455, 0.000], [0.000, 0.000, 4.335]], "species": ["Pb", "Y", "Tl", "H", "H"], "fractional_positions": [[0.000, 0.500, 0.000], [0.000, 0.000, 0.000], [0.500, 0.500, 0.500], [0.000, 0.000, 0.500], [0.500, 0.000, 0.000]]}

{"formula": "Tb5PrTm2", "functional": "PBE-GGA", "state": "optimized geometry", "magmom_total_mub_per_fu": 0.00, "formation_energy_mev_per_atom": 19, "sg": "Pbam, No. 55", "cell": [[5.021, 0.000, 0.000], [0.000, 7.129, 0.000], [0.000, 0.000, 14.261]], "species": ["Tb", "Tb", "Tb", "Tb", "Tb", "Tb", "Tb", "Tb", "Tb", "Tb", "Pr", "Pr", "Tm", "Tm", "Tm", "Tm"], "fractional_positions": [[0.000, 0.000, 0.000], [0.000, 0.500, 0.500], [0.000, 0.498, 0.749], [0.000, 0.502, 0.251], [0.000, 0.002, 0.249], [0.000, 0.998, 0.751], [0.500, 0.248, 0.874], [0.500, 0.752, 0.126], [0.500, 0.252, 0.374], [0.500, 0.748, 0.626], [0.000, 0.000, 0.500], [0.000, 0.500, 0.000], [0.500, 0.250, 0.626], [0.500, 0.750, 0.374], [0.500, 0.250, 0.126], [0.500, 0.750, 0.874]]}

{"formula": "PuScOsPb", "functional": "PBE-GGA", "state": "optimized geometry", "magmom_total_mub_per_fu": 4.86, "formation_energy_mev_per_atom": -266, "sg": "P4mm, No. 99", "cell": [[-0.009, 0.555, -3.200], [-3.224, 0.379, 0.074], [1.005, 8.273, 1.431]], "species": ["Pu", "Sc", "Os", "Pb"], "fractional_positions": [[0.500, 0.500, 0.769], [0.500, 0.500, 0.372], [0.000, 0.000, 0.557], [0.000, 0.000, 0.087]]}

{"formula": "Tl2SiSe", "functional": "PBE-GGA", "state": "optimized geometry", "magmom_total_mub_per_fu": 0.00, "formation_energy_uncorrected_ev_per_fu": 1.478, "sg": "Cmmm, No. 65", "cell": [[-0.272, 2.374, -2.210], [1.041, -2.032, -2.320], [-9.015, -2.646, -1.730]], "species": ["Se", "Si", "Tl", "Tl"], "fractional_positions": [[0.500, 0.500, 0.250], [0.500, 0.500, 0.750], [0.000, 0.000, 0.992], [0.000, 0.000, 0.508]]}

{"formula": "Ce3SmHo2S6", "functional": "PBE-GGA", "state": "optimized geometry", "magmom_total_mub_per_fu": 2.50, "formation_energy_uncorrected_ev_per_fu": -24.322, "sg": "C2/m, No. 12", "cell": [[6.865, -0.003, -0.001], [-3.434, 5.945, -0.001], [-1.146, -1.983, 6.545]], "species": ["Ce", "Ce", "Ce", "Sm", "Ho", "Ho", "S", "S", "S", "S", "S", "S"], "fractional_positions": [[0.164, 0.836, 0.500], [0.836, 0.164, 0.500], [0.500, 0.500, 0.500], [0.000, 0.000, 0.000], [0.333, 0.667, 0.000], [0.667, 0.333, 0.000], [0.920, 0.580, 0.759], [0.739, 0.739, 0.238], [0.080, 0.420, 0.241], [0.580, 0.920, 0.759], [0.261, 0.261, 0.762], [0.420, 0.080, 0.241]]}

{"formula": "Cs2HSeF6", "functional": "PBE-GGA", "state": "optimized geometry", "magmom_total_mub_per_fu": 1.00, "e_tot_ev_per_atom": -4.05, "sg": "P1, No. 1", "cell": [[-2.012, -4.519, -4.897], [5.220, 2.172, -4.087], [0.712, -1.578, 6.481]], "species": ["Cs", "Cs", "H", "Se", "F", "F", "F", "F", "F", "F"], "fractional_positions": [[0.783, 0.224, 0.509], [0.224, 0.783, 0.508], [0.494, 0.495, 0.985], [0.008, 0.008, 0.015], [0.774, 0.775, 0.942], [0.661, 0.663, 0.249], [0.237, 0.237, 0.076], [0.809, 0.202, 0.013], [0.309, 0.308, 0.694], [0.200, 0.808, 0.007]]}

{"formula": "Ti3Cu2Pd4", "functional": "PBE-GGA", "state": "optimized geometry", "magmom_total_mub_per_fu": 0.00, "formation_energy_mev_per_atom": -334, "sg": "C2/c, No. 15", "cell": [[-4.252, 1.286, 1.675], [-1.016, -6.962, 2.860], [3.186, 2.106, 6.564]], "species": ["Ti", "Ti", "Ti", "Ti", "Ti", "Ti", "Cu", "Cu", "Cu", "Cu", "Pd", "Pd", "Pd", "Pd", "Pd", "Pd", "Pd", "Pd"], "fractional_positions": [[0.998, 0.012, 0.191], [0.502, 0.809, 0.988], [0.002, 0.988, 0.809], [0.498, 0.191, 0.012], [0.250, 0.513, 0.487], [0.750, 0.487, 0.513], [0.510, 0.197, 0.347], [0.990, 0.653, 0.803], [0.490, 0.803, 0.653], [0.010, 0.347, 0.197], [0.493, 0.861, 0.308], [0.007, 0.692, 0.139], [0.507, 0.139, 0.692], [0.993, 0.308, 0.861], [0.014, 0.182, 0.502], [0.486, 0.498, 0.818], [0.986, 0.818, 0.498], [0.514, 0.502, 0.182]]}

{"formula": "PmInRu2", "functional": "PBE-GGA", "state": "optimized geometry", "magmom_total_mub_per_fu": 0.00, "formation_energy_mev_per_atom": 4, "sg": "P4/mmm, No. 123", "cell": [[3.412, 0.000, 0.000], [0.000, 3.412, 0.000], [0.000, 0.000, 6.557]], "species": ["Ru", "Ru", "In", "Pm"], "fractional_positions": [[0.000, 0.000, 0.776], [0.000, 0.000, 0.224], [0.500, 0.500, 0.000], [0.500, 0.500, 0.500]]}

{"formula": "CsY2PPd", "functional": "PBE-GGA", "state": "optimized geometry", "magmom_total_mub_per_fu": 0.00, "formation_energy_mev_per_atom": 271, "sg": "P4/mmm, No. 123", "cell": [[-5.380, 0.424, -0.545], [-0.013, -4.636, -3.483], [-0.691, -3.231, 4.302]], "species": ["Cs", "Y", "Y", "Pd", "P"], "fractional_positions": [[0.000, 0.500, 0.000], [0.000, 0.000, 0.500], [0.500, 0.000, 0.000], [0.000, 0.000, 0.000], [0.500, 0.500, 0.500]]}

{"formula": "Ni2Pd5Pt12", "functional": "PBE-GGA", "state": "optimized geometry", "magmom_total_mub_per_fu": 3.68, "formation_energy_mev_per_atom": 82, "sg": "C2/m, No. 12", "cell": [[5.216, 0.000, -1.677], [-0.682, 6.475, -2.120], [-0.006, -0.088, 8.931]], "species": ["Ni", "Ni", "Pd", "Pd", "Pd", "Pd", "Pd", "Pt", "Pt", "Pt", "Pt", "Pt", "Pt", "Pt", "Pt", "Pt", "Pt", "Pt", "Pt"], "fractional_positions": [[0.743, 0.000, 0.000], [0.257, 0.000, 0.000], [0.753, 0.511, 0.506], [0.651, 0.091, 0.301], [0.000, 0.500, 0.000], [0.349, 0.909, 0.699], [0.247, 0.489, 0.494], [0.863, 0.935, 0.726], [0.442, 0.795, 0.390], [0.947, 0.795, 0.390], [0.356, 0.375, 0.203], [0.847, 0.375, 0.203], [0.546, 0.700, 0.092], [0.454, 0.300, 0.908], [0.644, 0.625, 0.797], [0.153, 0.625, 0.797], [0.558, 0.205, 0.610], [0.053, 0.205, 0.610], [0.137, 0.065, 0.274]]}

{"formula": "ZnCrPd5", "functional": "PBE-GGA", "state": "optimized geometry", "magmom_total_mub_per_fu": 1.68, "formation_energy_mev_per_atom": -73, "sg": "C2/c, No. 15", "cell": [[-4.649, 2.877, -3.986], [-4.220, -5.174, 1.094], [-3.031, 1.889, 3.249]], "species": ["Zn", "Zn", "Cr", "Cr", "Pd", "Pd", "Pd", "Pd", "Pd", "Pd", "Pd", "Pd", "Pd", "Pd"], "fractional_positions": [[0.435, 0.565, 0.250], [0.565, 0.435, 0.750], [0.000, 0.000, 0.000], [0.000, 0.000, 0.500], [0.666, 0.826, 0.405], [0.047, 0.666, 0.323], [0.826, 0.666, 0.905], [0.733, 0.267, 0.250], [0.334, 0.953, 0.177], [0.666, 0.047, 0.823], [0.267, 0.733, 0.750], [0.174, 0.334, 0.095], [0.953, 0.334, 0.677], [0.334, 0.174, 0.595]]}

{"formula": "Na2AcNpF8", "functional": "PBE-GGA", "state": "optimized geometry", "magmom_total_mub_per_fu": 4.00, "formation_energy_uncorrected_ev_per_fu": -37.680, "sg": "P-3m1, No. 164", "cell": [[6.279, 0.000, 0.000], [-3.139, 5.437, 0.000], [0.000, 0.000, 7.399]], "species": ["Na", "Na", "Ac", "Np", "F", "F", "F", "F", "F", "F", "F", "F"], "fractional_positions": [[0.667, 0.333, 0.310], [0.333, 0.667, 0.690], [0.000, 0.000, 0.500], [0.000, 0.000, 0.000], [0.857, 0.143, 0.230], [0.857, 0.714, 0.230], [0.286, 0.143, 0.230], [0.714, 0.857, 0.770], [0.333, 0.667, 0.409], [0.667, 0.333, 0.591], [0.143, 0.857, 0.770], [0.143, 0.286, 0.770]]}

{"formula": "SrAl2Zn4", "functional": "PBE-GGA", "state": "optimized geometry", "magmom_total_mub_per_fu": 0.00, "formation_energy_mev_per_atom": -121, "sg": "I4/mmm, No. 139", "cell": [[4.882, 0.000, 2.109], [2.441, 4.975, 1.054], [0.468, 0.000, 5.622]], "species": ["Sr", "Zn", "Zn", "Zn", "Zn", "Al", "Al"], "fractional_positions": [[0.000, 0.000, 0.000], [0.690, 0.000, 0.619], [0.310, 0.000, 0.381], [0.690, 0.619, 0.000], [0.310, 0.381, 0.000], [0.750, 0.500, 0.500], [0.250, 0.500, 0.500]]}

{"formula": "Ta3AuN", "functional": "PBE-GGA", "state": "optimized geometry", "magmom_total_mub_per_fu": 0.00, "formation_energy_uncorrected_ev_per_fu": -2.217, "sg": "Pm-3m, No. 221", "cell": [[-0.840, -0.194, -4.165], [-4.141, -0.457, 0.856], [-0.487, 4.225, -0.099]], "species": ["N", "Au", "Ta", "Ta", "Ta"], "fractional_positions": [[0.000, 0.000, 0.000], [0.500, 0.500, 0.500], [0.000, 0.500, 0.000], [0.000, 0.000, 0.500], [0.500, 0.000, 0.000]]}

{"formula": "K2SrReSi", "functional": "PBE-GGA", "state": "optimized geometry", "magmom_total_mub_per_fu": 2.10, "formation_energy_uncorrected_ev_per_fu": 4.237, "sg": "P4/mmm, No. 123", "cell": [[6.321, 0.000, 0.000], [0.000, 4.686, 0.000], [0.000, 0.000, 6.321]], "species": ["Re", "K", "K", "Si", "Sr"], "fractional_positions": [[0.000, 0.500, 0.000], [0.000, 0.000, 0.500], [0.500, 0.000, 0.000], [0.000, 0.000, 0.000], [0.500, 0.500, 0.500]]}

{"formula": "LaRh3", "functional": "PBE-GGA", "state": "optimized geometry", "magmom_total_mub_per_fu": 1.12, "formation_energy_mev_per_atom": 1540, "sg": "Pm-3m, No. 221", "cell": [[4.963, 0.000, 0.000], [0.000, 4.963, 0.000], [0.000, 0.000, 4.963]], "species": ["La", "Rh", "Rh", "Rh"], "fractional_positions": [[0.000, 0.000, 0.000], [0.000, 0.000, 0.500], [0.000, 0.500, 0.000], [0.500, 0.000, 0.000]]}